(1)
## FeSb2Te (PBE)

Data for a geometry-optimized FeSb2Te structure.

symmetry: No. 12
E_form (uncorrected): 259 meV per atom

The structure in extended XYZ format:
```
4
Lattice="-4.596 -0.840 -4.816 -6.283 -1.153 -2.055 -2.344 4.175 -0.959" Properties=species:S:1:pos:R:3 pbc="T T T"
Sb -2.962 3.728 -1.387
Sb -5.993 1.537 -3.487
Fe -9.917 1.636 -5.873
Te -3.306 0.545 -1.958
```

***

(2)
## CoCuHgOsRu (PBE)

Data for a geometry-optimized CoCuHgOsRu structure.

energy relative to the elements: 43.4 kJ per mole of atoms
symmetry: No. 38

The structure in extended XYZ format:
```
10
Lattice="2.730 0.000 0.000 0.000 4.075 0.000 0.000 0.000 13.498" Properties=species:S:1:pos:R:3 pbc="T T T"
Co 1.365 0.000 2.759
Ru 1.365 2.037 4.062
Cu 0.000 2.037 1.741
Cu 0.000 0.000 8.490
Os 0.000 0.000 5.008
Co 1.365 2.037 9.508
Ru 1.365 0.000 10.811
Os 0.000 2.037 11.757
Hg 1.365 2.037 6.884
Hg 1.365 0.000 0.135
```

***

(3)
## Li4CrTc (PBE)

Data for a geometry-optimized Li4CrTc structure.

energy relative to the elements: 48.7 kJ per mole of atoms
symmetry: No. 216

The structure in extended XYZ format:
```
6
Lattice="-1.966 -3.746 2.456 -3.389 -2.811 -2.130 1.083 -4.597 -1.273" Properties=species:S:1:pos:R:3 pbc="T T T"
Li -1.689 -5.101 -1.814
Cr 0.000 0.000 0.000
Tc -1.068 -2.789 -0.237
Li -0.981 -5.566 0.468
Li -3.207 -4.677 0.042
Li -2.668 -6.965 -0.592
```

***

(4)
## MgAl5S8 (PBE)

Data for a geometry-optimized MgAl5S8 structure.

symmetry: No. 216
E_form (uncorrected): -1042 meV per atom

The structure in extended XYZ format:
```
14
Lattice="-2.700 4.470 4.935 -2.769 -2.621 6.090 3.446 0.981 6.228" Properties=species:S:1:pos:R:3 pbc="T T T"
S -2.014 3.134 8.911
S -2.045 -0.105 9.438
S -0.487 0.356 12.648
Al -2.939 1.282 7.693
S -3.373 1.994 12.041
S -0.455 3.685 12.106
Al -1.258 1.760 10.730
S 0.793 1.540 9.501
Al 0.000 0.000 0.000
Al 0.092 3.038 7.760
Al 0.059 -0.420 8.324
S -1.755 2.455 14.965
Mg -0.506 0.708 4.313
S -0.781 1.092 6.657
```

***

Magnetization? In order: 1.886; 2.673; 2.151; 0.000 μB/cell.